Below is a relaxed structure of Ba3SrCu, with properties calculated at the PBE level.

abc: 6.4526 6.4526 6.4526
angles: 90.00 90.00 90.00
Sites, in units of the cell vectors:
Ba (0.0000, 0.0000, 0.5000)
Ba (0.0000, 0.5000, 0.0000)
Ba (0.5000, 0.0000, 0.0000)
Sr (0.5000, 0.5000, 0.5000)
Cu (0.0000, 0.0000, 0.0000)

Results
The volume is 268.7 Å³/f.u. The value obtained for the total magnetization is 0.0 μB/cell. The formation energy from the elements is 0.02 eV/atom.